This record from Alexandria describes RbVAs2F after structural relaxation. The functional is GGA+U.

- D(E_F) (states/eV per cell) = 7.2
- crystal system = tetragonal
- total DFT energy (no corrections) (eV/atom) = -3.391
- space group = P4/mmm

Cell: 4.820 4.820 4.827 Å, 90.00 90.00 90.00°
Sites, in units of the cell vectors:
Rb  0.000  0.000  0.000
V  0.500  0.500  0.000
As  0.000  0.500  0.500
As  0.500  0.000  0.500
F  0.000  0.000  0.500